Entry 1:
DFT (PBE) results for a geometry-optimized Cd3In3CuPd2 structure.

Values from the calculation:
Its energy relative to the elements is -0.170 eV/atom. The calculation puts the total DFT energy (no corrections) at -3.00 eV/atom. As for the density of states at the Fermi level: 2.907 states/eV per cell.

a = 3.4878 Å, b = 7.6894 Å, c = 7.6894 Å
α = 120.00°, β = 90.00°, γ = 90.00°
With the nearest neighbours (Å) after each atom.
Positions (direct):
1 Cu 0.0000 0.0000 0.0000  6 Cd 2.70, 3 In 2.99
2 In 0.0000 0.6108 0.6108  4 Pd 2.95, 1 Cu 2.99, 6 Cd 3.16-3.17
3 In 0.0000 0.3892 0.0000  4 Pd 2.95, 1 Cu 2.99, 6 Cd 3.16-3.17
4 Pd 0.5000 0.6667 0.3333  3 Cd 2.85, 6 In 2.95
5 Cd 0.5000 0.2679 0.2679  2 Cu 2.70, 2 Pd 2.85
6 In 0.0000 0.0000 0.3892  4 Pd 2.95, 1 Cu 2.99, 6 Cd 3.16-3.17
7 Cd 0.5000 0.0000 0.7321  2 Cu 2.70, 2 Pd 2.85
8 Pd 0.5000 0.3333 0.6667  3 Cd 2.85, 6 In 2.95
9 Cd 0.5000 0.7321 0.0000  2 Cu 2.70, 2 Pd 2.85

***

Entry 2:
DFT (PBE) results for a geometry-optimized GaAs2PtSe structure.

Values from the calculation:
The calculation puts the total DFT energy (no corrections) at -3.44 eV/atom. As for the density of states at the Fermi level: 4.630 states/eV per cell. The calculation puts the uncorrected formation energy at 0.9254 eV/atom.

a = 4.8045 Å, b = 4.8045 Å, c = 4.8171 Å
α = 90.00°, β = 90.00°, γ = 90.00°
With the nearest neighbours (Å) after each atom.
Positions (direct):
1 Ga 0.0000 0.0000 0.0000  4 As 2.40, 2 Se 2.41
2 As 0.5000 0.0000 0.0000  2 Ga 2.40
3 Se 0.0000 0.0000 0.5000  2 Ga 2.41
4 Pt 0.5000 0.5000 0.5000  4 Se 3.40, 8 As 3.40
5 As 0.0000 0.5000 0.0000  2 Ga 2.40

***

Entry 3:
DFT (PBE) results for a geometry-optimized Ce2ErPa structure.

Values from the calculation:
Its energy relative to the elements is 0.170 eV/atom. The calculation puts the total DFT energy (no corrections) at -6.31 eV/atom. As for the density of states at the Fermi level: 10.757 states/eV per cell.

a = 4.7107 Å, b = 4.7881 Å, c = 4.7881 Å
α = 90.00°, β = 90.00°, γ = 90.00°
With the nearest neighbours (Å) after each atom.
Positions (direct):
1 Er 0.5000 0.0000 0.0000  8 Ce 3.36, 4 Pa 3.39
2 Pa 0.5000 0.5000 0.5000  8 Ce 3.36, 4 Er 3.39
3 Ce 0.0000 0.5000 0.0000  4 Pa 3.36, 4 Er 3.36, 4 Ce 3.39
4 Ce 0.0000 0.0000 0.5000  4 Er 3.36, 4 Pa 3.36, 4 Ce 3.39

***

Entry 4:
DFT (PBE) results for a geometry-optimized TlCoIrCl6 structure.

Values from the calculation:
The calculation puts the total DFT energy (no corrections) at -3.89 eV/atom. As for the density of states at the Fermi level: 1.357 states/eV per cell. The calculation puts the uncorrected formation energy at -0.6171 eV/atom.

a = 6.2987 Å, b = 6.2997 Å, c = 7.1994 Å
α = 89.82°, β = 90.23°, γ = 59.97°
With the nearest neighbours (Å) after each atom.
Positions (direct):
1 Cl 0.0107 0.6272 0.6846  1 Ir 2.37, 1 Co 2.43
2 Cl 0.3596 0.0102 0.6860  1 Ir 2.37, 1 Co 2.46
3 Cl 0.3665 0.6238 0.3122  1 Ir 2.36, 1 Co 2.46
4 Cl 0.0100 0.3594 0.3142  1 Ir 2.37, 1 Co 2.46
5 Ir 0.3336 0.3335 0.5000  6 Cl 2.36-2.37
6 Cl 0.6270 0.0106 0.3153  1 Ir 2.37, 1 Co 2.43
7 Tl 0.0002 0.0005 0.9999  6 Cl 3.23-3.25
8 Co 0.6681 0.6683 0.5000  6 Cl 2.43-2.46
9 Cl 0.6240 0.3667 0.6878  1 Ir 2.36, 1 Co 2.46

***

Entry 5:
DFT (PBE) results for a geometry-optimized Ba2CdSb3Pd4 structure.

Values from the calculation:
The calculation puts the total DFT energy (no corrections) at -4.55 eV/atom. As for the density of states at the Fermi level: 4.347 states/eV per cell. The calculation puts the uncorrected formation energy at -0.7584 eV/atom.

a = 4.7784 Å, b = 4.7784 Å, c = 10.8451 Å
α = 90.00°, β = 90.00°, γ = 90.00°
With the nearest neighbours (Å) after each atom.
Positions (direct):
1 Pd 0.0000 0.0000 0.0000  4 Sb 2.74
2 Cd 0.5000 0.5000 0.5000  4 Pd 2.76
3 Pd 0.5000 0.5000 0.0000  4 Sb 2.74
4 Ba 0.5000 0.0000 0.2444  8 Pd 3.57-3.65, 7 Sb 3.63-3.98, 2 Cd 3.66
5 Sb 0.0000 0.0000 0.5000  4 Pd 2.76
6 Sb 0.5000 0.0000 0.8770  5 Pd 2.71-2.74
7 Pd 0.0000 0.5000 0.3724  3 Sb 2.71-2.76, 2 Cd 2.76
8 Sb 0.0000 0.5000 0.1230  5 Pd 2.71-2.74
9 Ba 0.0000 0.5000 0.7556  8 Pd 3.57-3.65, 7 Sb 3.63-3.98, 2 Cd 3.66
10 Pd 0.5000 0.0000 0.6276  3 Sb 2.71-2.76, 2 Cd 2.76